(1)
Ba2Pb3 | PBE-GGA | relaxed

total energy	-3.456	eV per atom
ΔH_f (0 K)	-10.66	kcal/mol of atoms

a = 6.914 Å, b = 12.058 Å, c = 9.442 Å
α = 90.00°, β = 90.00°, γ = 90.00°
Space group Cmce (No. 64)
Asymmetric unit:
Ba 0.000 0.152 0.099 [8 per cell]
Pb 0.000 0.000 0.500 [4 per cell]
Pb 0.250 0.107 0.750 [8 per cell]



(2)
ScTlO3 | PBE-GGA | relaxed

total energy	-5.441	eV per atom

a = 4.194 Å, b = 4.194 Å, c = 4.194 Å
α = 90.00°, β = 90.00°, γ = 90.00°
Space group Pm-3m (No. 221)
Asymmetric unit:
Sc 0.000 0.000 0.000 [1 per cell]
Tl 0.500 0.500 0.500 [1 per cell]
O 0.000 0.500 0.500 [3 per cell]



(3)
DyPI | PBE-GGA | relaxed

total energy	-5.054	eV per atom

a = 3.996 Å, b = 4.993 Å, c = 11.525 Å
α = 77.50°, β = 80.75°, γ = 67.61°
Space group P-1 (No. 2)
Asymmetric unit:
Dy 0.172 0.300 0.372 [2 per cell]
P 0.484 0.690 0.428 [2 per cell]
I 0.201 0.795 0.821 [2 per cell]



(4)
YZnHg3 | PBE-GGA | relaxed

total energy	-1.959	eV per atom
polymorph energy (0 for the lowest one)	0.00	eV/f.u.
ΔH_f (0 K)	-5.31	kcal/mol of atoms

a = 9.092 Å, b = 4.580 Å, c = 11.112 Å
α = 90.00°, β = 90.00°, γ = 90.00°
Space group Pnma (No. 62)
Asymmetric unit:
Y 0.222 0.250 0.004 [4 per cell]
Zn 0.122 0.250 0.343 [4 per cell]
Hg 0.054 0.250 0.594 [4 per cell]
Hg 0.080 0.750 0.848 [4 per cell]
Hg 0.144 0.750 0.189 [4 per cell]



(5)
LiAc3Ag3 | PBE-GGA | relaxed

total energy	-3.460	eV per atom
ΔH_f (0 K)	-4.70	kcal/mol of atoms

a = 4.213 Å, b = 4.818 Å, c = 20.656 Å
α = 90.00°, β = 90.00°, γ = 90.00°
Space group Imm2 (No. 44)
Asymmetric unit:
Li 0.000 0.000 0.000 [2 per cell]
Ac 0.000 0.000 0.430 [2 per cell]
Ac 0.000 0.500 0.247 [2 per cell]
Ac 0.000 0.500 0.626 [2 per cell]
Ag 0.000 0.000 0.874 [2 per cell]
Ag 0.000 0.500 0.069 [2 per cell]
Ag 0.000 0.500 0.795 [2 per cell]



(6)
HoGa3Co3 | PBE-GGA | relaxed

total energy	-5.175	eV per atom
polymorph energy (0 for the lowest one)	0.00	eV/f.u.
ΔH_f (0 K)	-4.11	kcal/mol of atoms

a = 7.8022 Å, b = 7.8022 Å, c = 4.1767 Å
α = 90.00°, β = 90.00°, γ = 120.00°
Space group P6_3/m (No. 176)
Asymmetric unit:
Ho 0.3333 0.6667 0.2500 [2 per cell]
Ga 0.0771 0.6870 0.7500 [6 per cell]
Co 0.0412 0.8345 0.2500 [6 per cell]



(7)
MnIn | PBE-GGA | relaxed

total energy	-5.369	eV per atom
ΔH_f (0 K)	13.48	kcal/mol of atoms

a = 5.478 Å, b = 5.478 Å, c = 5.478 Å
α = 90.00°, β = 90.00°, γ = 90.00°
Space group Fm-3m (No. 225)
Asymmetric unit:
Mn 0.000 0.000 0.000 [4 per cell]
In 0.000 0.000 0.500 [4 per cell]



(8)
Ba2YZr | PBE-GGA | relaxed

total energy	-4.191	eV per atom
polymorph energy (0 for the lowest one)	0.83	eV/f.u.
ΔH_f (0 K)	12.07	kcal/mol of atoms

a = 3.6883 Å, b = 3.6883 Å, c = 37.3347 Å
α = 90.00°, β = 90.00°, γ = 120.00°
Space group R-3m (No. 166, hexagonal axes)
Asymmetric unit:
Ba 0.0000 0.0000 0.2450 [6 per cell]
Y 0.0000 0.0000 0.0000 [3 per cell]
Zr 0.0000 0.0000 0.5000 [3 per cell]



M_tot (computed, μB/cell): 0.00; 0.01; 0.00; 0.00; 0.00; 3.14; 12.87; 0.00